No. 1
## Cs4Ho3TmTe8 (PBE)

Data for a relaxed Cs4Ho3TmTe8 crystal.

The structure in extended XYZ format:
```
16
Lattice="9.0657 0.0000 0.0000 0.0000 10.3004 0.8708 -4.5328 -4.5317 6.4088" Properties=species:S:1:pos:R:3 pbc="T T T"
Te 4.5328 5.0151 3.5443
Te 0.0000 0.7536 3.7353
Tm 0.0000 5.1502 0.4354
Ho 2.2664 2.8844 3.6398
Te 2.2550 3.0287 0.5294
Te -2.2778 2.7400 6.7502
Te 4.5328 0.7516 3.7498
Te 2.2778 2.7400 6.7502
Te 0.0000 5.0172 3.5298
Cs -2.2664 -2.2658 3.2044
Cs 2.2664 -2.2658 3.2044
Te 6.8106 3.0287 0.5294
Cs 4.5328 0.0000 0.0000
Cs 0.0000 0.0000 0.0000
Ho 4.5328 5.1502 0.4354
Ho -2.2664 2.8844 3.6398
```

Properties
formation energy (no corrections): -1.37 eV/atom

No. 2
## SrLiPRh2 (PBE)

Data for a relaxed SrLiPRh2 crystal.

The structure in extended XYZ format:
```
5
Lattice="4.5183 0.0000 0.0000 0.0000 4.5183 0.0000 0.0000 0.0000 4.6727" Properties=species:S:1:pos:R:3 pbc="T T T"
Rh 0.0000 2.2592 0.0000
Li 0.0000 0.0000 2.3364
Rh 2.2592 0.0000 0.0000
P 0.0000 0.0000 0.0000
Sr 2.2592 2.2592 2.3364
```

Properties
formation energy from the elements: -0.536 eV/atom

No. 3
## MnHgPd14 (PBE)

Data for a relaxed MnHgPd14 crystal.

The structure in extended XYZ format:
```
16
Lattice="5.6252 -0.0119 0.0000 0.0120 5.6252 0.0000 0.0000 0.0000 7.9167" Properties=species:S:1:pos:R:3 pbc="T T T"
Pd 0.6891 3.5359 1.9747
Pd 0.6891 3.5359 5.9419
Pd 4.9265 2.0990 0.0000
Pd 4.9265 2.0990 3.9583
Pd 3.5388 0.6741 5.9419
Pd 0.6833 0.6804 5.9419
Pd 3.5446 3.5296 1.9747
Pd 2.1200 4.9175 3.9583
Mn 4.9325 4.9116 3.9583
Pd 0.6833 0.6804 1.9747
Hg 2.1139 2.1050 3.9583
Pd 2.1139 2.1049 0.0000
Pd 2.1199 4.9176 0.0000
Pd 3.5446 3.5296 5.9420
Pd 4.9325 4.9116 0.0000
Pd 3.5388 0.6741 1.9747
```

Properties
formation energy from the elements: -0.069 eV/atom